Here is an optimized crystal structure of MnSi3P from Alexandria. Energies are from PBE.

Cell and atoms, written as POSCAR:
```
MnSi3P
1.0
4.413 0.000 0.000
0.000 4.413 0.000
0.000 0.000 4.413
Mn Si P
1 3 1
Cartesian
0.000 0.000 0.000 Mn
0.000 0.000 2.207 Si
0.000 2.207 0.000 Si
2.207 0.000 0.000 Si
2.207 2.207 2.207 P
```

Formation energy (no corrections)   0.544 eV/atom
Relative energy among the computed polymorphs   0 meV/atom
Magnetization   1.752 μB/f.u.
Calculated density   3.29 g cm⁻³

***

Here is an optimized crystal structure of MnSi3P from Alexandria. Energies are from PBE.

Cell and atoms, written as POSCAR:
```
MnSi3P
1.0
4.429 0.000 0.000
0.000 4.429 0.000
0.000 0.000 4.429
Mn Si P
1 3 1
Cartesian
0.000 0.000 0.000 Mn
0.000 2.215 2.215 Si
2.215 0.000 2.215 Si
2.215 2.215 0.000 Si
2.215 2.215 2.215 P
```

Formation energy (no corrections)   1.317 eV/atom
Relative energy among the computed polymorphs   773 meV/atom
Magnetization   0.338 μB/f.u.
Calculated density   3.25 g cm⁻³

***

Here is an optimized crystal structure of MnSiP from Alexandria. Energies are from PBE.

Cell and atoms, written as POSCAR:
```
MnSiP
1.0
3.385 0.000 0.000
0.000 3.385 0.000
0.000 0.000 6.606
Mn Si P
2 2 2
Cartesian
0.846 0.846 1.485 Mn
2.539 2.539 5.121 Mn
0.846 0.846 3.950 Si
2.539 2.539 2.657 Si
0.846 2.539 0.000 P
2.539 0.846 0.000 P
```

Formation energy (no corrections)   -0.110 eV/atom
Relative energy among the computed polymorphs   172 meV/atom
Magnetization   0.267 μB/f.u.
Calculated density   5.00 g cm⁻³

***

Here is an optimized crystal structure of MnSi2P from Alexandria. Energies are from PBE.

Cell and atoms, written as POSCAR:
```
MnSi2P
1.0
3.202 0.000 0.000
0.000 3.202 0.000
0.000 0.000 4.888
Mn Si P
1 2 1
Cartesian
0.000 0.000 0.000 Mn
1.601 1.601 1.222 Si
1.601 1.601 3.667 Si
0.000 0.000 2.444 P
```

Formation energy (no corrections)   0.161 eV/atom
Magnetization   1.424 μB/f.u.
Calculated density   4.71 g cm⁻³

***

Here is an optimized crystal structure of MnSi2P from Alexandria. Energies are from PBE.

Cell and atoms, written as POSCAR:
```
MnSi2P
1.0
-2.854 2.854 4.837
2.854 -2.854 4.837
2.854 2.854 -4.837
Mn Si P
2 4 2
Cartesian
0.000 0.000 0.000 Mn
0.000 2.854 2.418 Mn
1.427 -1.333 3.628 Si
1.521 1.427 1.209 Si
1.427 4.187 -1.209 Si
1.333 1.427 6.046 Si
2.854 0.000 2.418 P
0.000 0.000 4.837 P
```

Formation energy (no corrections)   0.322 eV/atom
Magnetization   3.395 μB/f.u.
Calculated density   2.99 g cm⁻³

***

Here is an optimized crystal structure of MnSi2P from Alexandria. Energies are from PBE.

Cell and atoms, written as POSCAR:
```
MnSi2P
1.0
-1.644 2.228 3.654
1.644 -2.228 3.654
1.644 2.228 -3.654
Mn Si P
1 2 1
Cartesian
0.000 0.000 0.000 Mn
0.000 0.000 3.586 Si
0.000 2.228 1.708 Si
1.644 0.000 1.882 P
```

Formation energy (no corrections)   0.222 eV/atom
Magnetization   2.325 μB/f.u.
Calculated density   4.41 g cm⁻³

***

Which of these has the lowest formation energy (no corrections)?
MnSiP